No. 1
A relaxed structure of SrBi2Pb4, computed with GGA-PBE.

Cell lengths 5.624, 5.975, 8.997 Å; angles 111.41, 99.81, 55.34 degrees
Positions (direct):
1 Pb 0.593 0.851 0.286
2 Pb 0.150 0.705 0.558
3 Pb 0.850 0.295 0.442
4 Bi 0.715 0.561 0.837
5 Pb 0.407 0.149 0.714
6 Sr 0.000 0.000 0.000
7 Bi 0.285 0.439 0.163

Output
E_form   -0.18 eV/atom

***

No. 2
A relaxed structure of Sc2SbOs, computed with GGA-PBE.

Cell lengths 10.066, 10.066, 10.066 Å; angles 17.84, 17.84, 17.84 degrees
Positions (direct):
1 Sc 0.919 0.919 0.919
2 Os 0.000 0.000 0.000
3 Sb 0.500 0.500 0.500
4 Sc 0.081 0.081 0.081

Output
Formation energy without anion corrections   0.2973 eV/atom

***

No. 3
A relaxed structure of ThTlFe, computed with GGA-PBE.

Cell lengths 4.641, 6.350, 4.954 Å; angles 99.87, 90.00, 111.44 degrees
Positions (direct):
1 Th 0.141 0.281 0.808
2 Tl 0.417 0.834 0.712
3 Fe 0.798 0.595 0.641
4 Th 0.859 0.719 0.192
5 Fe 0.202 0.405 0.359
6 Tl 0.583 0.166 0.288

Output
E_form   -0.05 eV/atom

***

No. 4
A relaxed structure of CaOsC2, computed with GGA-PBE.

Cell lengths 5.116, 5.116, 6.194 Å; angles 65.61, 65.61, 90.00 degrees
Positions (direct):
1 Ca 0.250 0.750 0.500
2 C 0.375 0.259 0.750
3 C 0.741 0.125 0.250
4 Os 0.750 0.250 0.500
5 C 0.009 0.625 0.250
6 C 0.875 0.991 0.750
7 Ca 0.500 0.500 0.000
8 Os 0.000 0.000 0.000

Output
E_form   0.41 eV/atom
E above lowest polymorph   0 meV/atom

***

No. 5
A relaxed structure of La15CeTm4, computed with GGA-PBE.

Cell lengths 5.194, 5.194, 25.978 Å; angles 90.00, 90.00, 90.00 degrees
Positions (direct):
1 Tm 0.000 0.000 0.600
2 Tm 0.000 0.000 0.800
3 La 0.500 0.000 0.099
4 La 0.500 0.500 0.799
5 La 0.000 0.500 0.099
6 La 0.500 0.500 0.401
7 La 0.000 0.500 0.300
8 La 0.500 0.000 0.700
9 La 0.000 0.500 0.700
10 La 0.000 0.500 0.500
11 La 0.500 0.000 0.300
12 La 0.500 0.500 0.599
13 La 0.500 0.500 0.000
14 La 0.500 0.500 0.201
15 La 0.000 0.500 0.901
16 La 0.500 0.000 0.500
17 La 0.500 0.000 0.901
18 Tm 0.000 0.000 0.200
19 Tm 0.000 0.000 0.400
20 Ce 0.000 0.000 0.000

Output
E_form   0.02 eV/atom

***

No. 6
A relaxed structure of Na2Sr8Cd, computed with GGA-PBE.

Cell lengths 6.293, 7.988, 10.895 Å; angles 96.20, 106.79, 90.00 degrees
Positions (direct):
1 Sr 0.214 0.628 0.429
2 Na 0.159 0.167 0.317
3 Sr 0.786 0.372 0.571
4 Na 0.841 0.833 0.683
5 Cd 0.500 0.000 0.000
6 Sr 0.340 0.085 0.680
7 Sr 0.660 0.915 0.320
8 Sr 0.972 0.231 0.944
9 Sr 0.587 0.402 0.175
10 Sr 0.028 0.769 0.056
11 Sr 0.413 0.598 0.825

Output
E_form   -0.04 eV/atom
E above lowest polymorph   0 meV/atom

***

No. 7
A relaxed structure of Y2MnRh, computed with GGA-PBE.

Cell lengths 6.053, 6.053, 4.767 Å; angles 66.77, 66.77, 33.22 degrees
Positions (direct):
1 Rh 0.230 0.230 0.270
2 Y 0.969 0.969 0.031
3 Y 0.755 0.755 0.745
4 Mn 0.547 0.547 0.453

Output
E_form   -0.25 eV/atom

***

No. 8
A relaxed structure of Sc2SnRu, computed with GGA-PBE.

Cell lengths 7.720, 7.720, 6.154 Å; angles 51.16, 51.16, 90.00 degrees
Positions (direct):
1 Ru 0.500 0.500 0.000
2 Sc 0.565 0.125 0.250
3 Sc 0.375 0.435 0.750
4 Sn 0.750 0.250 0.500
5 Sn 0.000 0.000 0.000
6 Ru 0.250 0.750 0.500
7 Sc 0.875 0.815 0.750
8 Sc 0.185 0.625 0.250

Output
E_form   -0.19 eV/atom

***

No. 9
A relaxed structure of Sn2BRh4, computed with GGA-PBE.

Cell lengths 4.113, 4.113, 7.328 Å; angles 73.70, 73.70, 90.00 degrees
Positions (direct):
1 Sn 0.355 0.355 0.291
2 Rh 0.157 0.157 0.687
3 Sn 0.645 0.645 0.709
4 Rh 0.500 0.000 0.000
5 B 0.000 0.000 0.000
6 Rh 0.843 0.843 0.313
7 Rh 0.000 0.500 0.000

Output
E_form   -0.29 eV/atom

***

No. 10
A relaxed structure of Dy8HgTe4P3, computed with GGA-PBE.

Cell lengths 8.372, 8.519, 8.372 Å; angles 119.44, 120.00, 90.00 degrees
Positions (direct):
1 Te 0.000 0.000 0.500
2 Te 0.500 0.000 0.500
3 Dy 0.754 0.279 0.508
4 Te 0.500 0.000 0.000
5 Dy 0.271 0.279 0.025
6 P 0.500 0.500 0.000
7 Hg 0.000 0.500 0.000
8 Dy 0.729 0.721 0.975
9 Dy 0.264 0.292 0.528
10 Dy 0.246 0.721 0.975
11 P 0.000 0.500 0.500
12 Dy 0.754 0.279 0.025
13 Dy 0.246 0.721 0.492
14 Te 0.000 0.000 0.000
15 Dy 0.736 0.708 0.472
16 P 0.500 0.500 0.500

Output
Formation energy without anion corrections   -1.3488 eV/atom

***

No. 11
A relaxed structure of CaCd10Pb, computed with GGA-PBE.

Cell lengths 4.915, 6.006, 10.239 Å; angles 90.00, 90.00, 90.00 degrees
Positions (direct):
1 Pb 0.000 0.500 0.500
2 Cd 0.500 0.756 0.758
3 Cd 0.500 0.244 0.758
4 Cd 0.500 0.756 0.242
5 Cd 0.500 0.244 0.242
6 Ca 0.000 0.000 0.000
7 Cd 0.500 0.500 0.000
8 Cd 0.500 0.000 0.500
9 Cd 0.000 0.500 0.830
10 Cd 0.000 0.000 0.663
11 Cd 0.000 0.000 0.337
12 Cd 0.000 0.500 0.170

Output
E_form   -0.04 eV/atom

***

No. 12
A relaxed structure of La3IrPbBr, computed with GGA-PBE.

Cell lengths 4.588, 8.120, 10.589 Å; angles 110.78, 90.00, 90.00 degrees
Positions (direct):
1 La 0.750 0.921 0.107
2 La 0.750 0.298 0.508
3 La 0.250 0.524 0.858
4 La 0.250 0.079 0.893
5 Br 0.250 0.133 0.614
6 Pb 0.250 0.265 0.266
7 Ir 0.250 0.724 0.128
8 La 0.750 0.476 0.142
9 La 0.250 0.702 0.492
10 Ir 0.750 0.276 0.872
11 Br 0.750 0.867 0.386
12 Pb 0.750 0.735 0.734

Output
Formation energy without anion corrections   -0.8235 eV/atom

***

It is found that the magnetic moment values, taken in the order of the records, are 0.0; 0.0; 0.1; 0.0; 1.3; 0.0; 3.4; 0.0; 0.0; 0.0; 0.0; 0.6 μB/f.u..
It is found that the theoretical density values, taken in the order of the records, are 9582; 7982; 12239; 6417; 6870; 2739; 6391; 6072; 9630; 8206; 7535; 8068 kg/m³.
It is found that the energy values, taken in the order of the records, are -25.57; -26.83; -18.41; -30.02; -97.31; -17.42; -30.44; -26.71; -46.15; -87.50; -15.37; -33.97 eV per formula unit.